Entry from Alexandria: an optimized crystal structure of Nd2SbH (PBE).

Unit cell a=6.258 b=6.305 c=10.256 alpha=94.76 beta=90.00 gamma=90.00
Sites, in units of the cell vectors:
1 Sb 0.371 0.415 0.110
2 Sb 0.371 0.085 0.390
3 Sb 0.629 0.585 0.890
4 Sb 0.629 0.915 0.610
5 Nd 0.869 0.011 0.331
6 Nd 0.263 0.581 0.418
7 Nd 0.737 0.081 0.918
8 Nd 0.263 0.919 0.082
9 Nd 0.869 0.489 0.169
10 Nd 0.737 0.419 0.582
11 Nd 0.131 0.511 0.831
12 Nd 0.131 0.989 0.669
13 H 0.064 0.882 0.882
14 H 0.936 0.118 0.118
15 H 0.064 0.618 0.618
16 H 0.936 0.382 0.382

**Theoretical density**: 6.77 g cm⁻³
**Calculated volume**: 403 Å³/cell
**Symmetry**: No. 13
**Electronic total energy**: -4.85 eV/atom
**Offset from the most stable computed form**: 0.045 eV per atom


Entry from Alexandria: an optimized crystal structure of Nd2SbH (PBE).

Unit cell a=4.309 b=7.068 c=7.068 alpha=102.10 beta=90.00 gamma=90.00
Sites, in units of the cell vectors:
1 H 0.000 0.694 0.694
2 H 0.000 0.306 0.306
3 Sb 0.500 0.215 0.785
4 Sb 0.500 0.785 0.215
5 Nd 0.500 0.500 0.500
6 Nd 0.000 0.500 0.000
7 Nd 0.000 0.000 0.000
8 Nd 0.000 0.000 0.500

**Theoretical density**: 6.49 g cm⁻³
**Calculated volume**: 210 Å³/cell
**Symmetry**: No. 65
**Electronic total energy**: -4.90 eV/atom
**Offset from the most stable computed form**: 0.000 eV per atom


Entry from Alexandria: an optimized crystal structure of Nd2SbH2 (PBE).

Unit cell a=6.142 b=6.142 c=6.607 alpha=105.94 beta=105.94 gamma=114.15
Sites, in units of the cell vectors:
1 H 0.119 0.119 0.237
2 H 0.881 0.881 0.763
3 H 0.131 0.631 0.263
4 H 0.369 0.869 0.737
5 Nd 0.189 0.811 0.000
6 Nd 0.811 0.189 0.000
7 Nd 0.061 0.939 0.500
8 Nd 0.439 0.561 0.500
9 Sb 0.750 0.250 0.500
10 Sb 0.500 0.500 0.000

**Theoretical density**: 6.98 g cm⁻³
**Calculated volume**: 196 Å³/cell
**Symmetry**: No. 70
**Electronic total energy**: -4.83 eV/atom
**Offset from the most stable computed form**: 0.050 eV per atom


Entry from Alexandria: an optimized crystal structure of Nd2SbH3 (PBE).

Unit cell a=4.050 b=7.941 c=7.388 alpha=113.93 beta=90.00 gamma=104.77
Sites, in units of the cell vectors:
1 H 0.937 0.873 0.586
2 H 0.307 0.613 0.522
3 H 0.404 0.809 0.376
4 H 0.693 0.387 0.478
5 H 0.596 0.191 0.624
6 H 0.063 0.127 0.414
7 Nd 0.529 0.058 0.267
8 Nd 0.202 0.405 0.688
9 Nd 0.798 0.595 0.312
10 Nd 0.471 0.942 0.733
11 Sb 0.131 0.263 0.046
12 Sb 0.869 0.737 0.954

**Theoretical density**: 6.58 g cm⁻³
**Calculated volume**: 209 Å³/cell
**Symmetry**: No. 12
**Electronic total energy**: -4.72 eV/atom


Entry from Alexandria: an optimized crystal structure of Nd2Sm2Sb2H (PBE).

Unit cell a=4.588 b=4.588 c=9.342 alpha=104.22 beta=104.22 gamma=90.00
Each line ends with the local moment (μB).
Sites, in units of the cell vectors:
1 H 0.000 0.000 0.000  0.00
2 Sm 0.000 0.500 0.000  0.07
3 Sm 0.500 0.000 0.000  0.07
4 Nd 0.179 0.179 0.357  0.00
5 Nd 0.821 0.821 0.643  0.00
6 Sb 0.636 0.636 0.272  0.00
7 Sb 0.364 0.364 0.728  0.00

**Theoretical density**: 7.51 g cm⁻³
**Calculated volume**: 184 Å³/cell
**Symmetry**: No. 139
**Electronic total energy**: -5.20 eV/atom


Entry from Alexandria: an optimized crystal structure of Nd4SnSbH (PBE).

Unit cell a=6.530 b=6.551 c=9.475 alpha=90.00 beta=110.16 gamma=90.00
Sites, in units of the cell vectors:
1 Nd 0.500 0.500 0.500
2 Nd 0.500 0.000 0.500
3 Nd 0.929 0.250 0.859
4 Nd 0.071 0.750 0.141
5 Nd 0.572 0.250 0.143
6 Nd 0.428 0.750 0.857
7 Nd 0.000 0.500 0.500
8 Nd 0.000 0.000 0.500
9 H 0.706 0.250 0.413
10 H 0.294 0.750 0.587
11 Sn 0.111 0.250 0.222
12 Sn 0.889 0.750 0.778
13 Sb 0.387 0.250 0.775
14 Sb 0.613 0.750 0.225

**Theoretical density**: 7.14 g cm⁻³
**Calculated volume**: 380 Å³/cell
**Symmetry**: No. 63
**Electronic total energy**: -5.11 eV/atom


Entry from Alexandria: an optimized crystal structure of Tb2Nd2Sb2H (PBE).

Unit cell a=4.566 b=4.566 c=9.201 alpha=104.37 beta=104.37 gamma=90.00
Each line ends with the local moment (μB).
Sites, in units of the cell vectors:
1 Nd 0.822 0.822 0.644  0.00
2 Nd 0.178 0.178 0.356  0.00
3 Tb 0.500 0.000 0.000  0.06
4 Tb 0.000 0.500 0.000  0.06
5 Sb 0.367 0.367 0.733  0.00
6 Sb 0.633 0.633 0.267  0.00
7 H 0.000 0.000 0.000  0.00

**Theoretical density**: 7.86 g cm⁻³
**Calculated volume**: 180 Å³/cell
**Symmetry**: No. 139
**Electronic total energy**: -5.18 eV/atom


Entry from Alexandria: an optimized crystal structure of Nd2Zr2Sb2H (PBE).

Unit cell a=4.380 b=4.380 c=9.017 alpha=104.06 beta=104.06 gamma=90.00
Sites, in units of the cell vectors:
1 Nd 0.823 0.823 0.646
2 Nd 0.177 0.177 0.354
3 Sb 0.372 0.372 0.745
4 Sb 0.628 0.628 0.255
5 H 0.000 0.000 0.000
6 Zr 0.500 0.000 0.000
7 Zr 0.000 0.500 0.000

**Theoretical density**: 7.31 g cm⁻³
**Calculated volume**: 162 Å³/cell
**Symmetry**: No. 139
**Electronic total energy**: -6.31 eV/atom


Entry from Alexandria: an optimized crystal structure of Nd2ScH (PBE).

Unit cell a=3.464 b=3.464 c=9.575 alpha=79.58 beta=79.58 gamma=60.00
Each line ends with the local moment (μB).
Sites, in units of the cell vectors:
1 Nd 0.886 0.886 0.341  0.02
2 Nd 0.114 0.114 0.659  0.02
3 H 0.500 0.500 0.500  0.00
4 Sc 0.000 0.000 0.000  0.18

**Theoretical density**: 5.71 g cm⁻³
**Calculated volume**: 97 Å³/cell
**Symmetry**: No. 166
**Electronic total energy**: -4.73 eV/atom
**Offset from the most stable computed form**: 0.000 eV per atom


Entry from Alexandria: an optimized crystal structure of Nd2ScH (PBE).

Unit cell a=3.374 b=3.374 c=8.343 alpha=90.00 beta=90.00 gamma=90.00
Sites, in units of the cell vectors:
1 H 0.500 0.500 0.000
2 Nd 0.000 0.000 0.197
3 Nd 0.000 0.000 0.803
4 Sc 0.500 0.500 0.500

**Theoretical density**: 5.85 g cm⁻³
**Calculated volume**: 95 Å³/cell
**Symmetry**: No. 123
**Electronic total energy**: -4.71 eV/atom
**Offset from the most stable computed form**: 0.022 eV per atom


Entry from Alexandria: an optimized crystal structure of Nd2ScH8 (PBE).

Unit cell a=3.776 b=5.011 c=6.463 alpha=112.81 beta=106.99 gamma=90.00
Sites, in units of the cell vectors:
1 H 0.187 0.187 0.374
2 H 0.643 0.897 0.286
3 H 0.000 0.231 0.000
4 H 0.357 0.103 0.714
5 H 0.357 0.610 0.714
6 H 0.643 0.390 0.286
7 H 0.813 0.813 0.626
8 H 0.000 0.769 0.000
9 Nd 0.168 0.668 0.336
10 Nd 0.832 0.332 0.664
11 Sc 0.500 0.000 0.000

**Theoretical density**: 5.30 g cm⁻³
**Calculated volume**: 107 Å³/cell
**Symmetry**: No. 71
**Electronic total energy**: -4.42 eV/atom


Entry from Alexandria: an optimized crystal structure of Nd3Sc5H12 (PBE).

Unit cell a=10.963 b=10.963 c=10.963 alpha=109.47 beta=109.47 gamma=109.47
Sites, in units of the cell vectors:
1 H 0.666 0.211 0.580
2 H 0.580 0.711 0.666
3 H 0.586 0.631 0.420
4 H 0.631 0.045 0.211
5 H 0.955 0.586 0.166
6 H 0.545 0.211 0.131
7 H 0.455 0.789 0.869
8 H 0.869 0.580 0.914
9 H 0.086 0.920 0.131
10 H 0.080 0.914 0.369
11 H 0.414 0.369 0.580
12 H 0.334 0.545 0.414
13 H 0.080 0.166 0.211
14 H 0.334 0.789 0.420
15 H 0.586 0.955 0.666
16 H 0.420 0.131 0.586
17 H 0.211 0.545 0.631
18 H 0.369 0.414 0.080
19 H 0.211 0.666 0.080
20 H 0.955 0.369 0.289
21 H 0.666 0.455 0.586
22 H 0.131 0.420 0.086
23 H 0.045 0.631 0.711
24 H 0.920 0.086 0.631
25 H 0.166 0.080 0.711
26 H 0.289 0.420 0.834
27 H 0.914 0.080 0.869
28 H 0.789 0.455 0.369
29 H 0.631 0.586 0.920
30 H 0.920 0.834 0.789
31 H 0.914 0.834 0.545
32 H 0.580 0.869 0.414
33 H 0.369 0.955 0.789
34 H 0.455 0.666 0.086
35 H 0.834 0.920 0.289
36 H 0.131 0.711 0.545
37 H 0.086 0.166 0.455
38 H 0.545 0.334 0.914
39 H 0.711 0.580 0.166
40 H 0.869 0.289 0.455
41 H 0.834 0.914 0.045
42 H 0.789 0.334 0.920
43 H 0.711 0.131 0.045
44 H 0.289 0.869 0.955
45 H 0.420 0.289 0.334
46 H 0.166 0.086 0.955
47 H 0.414 0.045 0.334
48 H 0.045 0.414 0.834
49 Nd 0.875 0.750 0.125
50 Nd 0.750 0.875 0.625
51 Nd 0.250 0.125 0.375
52 Nd 0.125 0.875 0.750
53 Nd 0.875 0.125 0.250
54 Nd 0.750 0.375 0.125
55 Nd 0.625 0.250 0.375
56 Nd 0.250 0.625 0.875
57 Nd 0.125 0.250 0.875
58 Nd 0.375 0.625 0.250
59 Nd 0.375 0.750 0.625
60 Nd 0.625 0.375 0.750
61 Sc 0.250 0.875 0.125
62 Sc 0.000 0.000 0.000
63 Sc 0.500 0.000 0.500
64 Sc 0.125 0.375 0.250
65 Sc 0.000 0.000 0.500
66 Sc 0.750 0.625 0.375
67 Sc 0.625 0.875 0.250
68 Sc 0.375 0.125 0.750
69 Sc 0.375 0.250 0.125
70 Sc 0.000 0.500 0.500
71 Sc 0.500 0.500 0.000
72 Sc 0.500 0.000 0.000
73 Sc 0.250 0.375 0.625
74 Sc 0.750 0.125 0.875
75 Sc 0.500 0.500 0.500
76 Sc 0.625 0.750 0.875
77 Sc 0.000 0.500 0.000
78 Sc 0.875 0.625 0.750
79 Sc 0.125 0.750 0.375
80 Sc 0.875 0.250 0.625

**Theoretical density**: 4.38 g cm⁻³
**Calculated volume**: 1014 Å³/cell
**Symmetry**: No. 230
**Electronic total energy**: -4.78 eV/atom


Entry from Alexandria: an optimized crystal structure of NdSc2H (PBE).

Unit cell a=3.294 b=3.294 c=9.184 alpha=79.67 beta=79.67 gamma=60.00
Sites, in units of the cell vectors:
1 Nd 0.000 0.000 0.000
2 H 0.500 0.500 0.500
3 Sc 0.878 0.878 0.366
4 Sc 0.122 0.122 0.634

**Theoretical density**: 4.63 g cm⁻³
**Calculated volume**: 84 Å³/cell
**Symmetry**: No. 166
**Electronic total energy**: -5.24 eV/atom


Entry from Alexandria: an optimized crystal structure of Nd2Sc4Si3H2 (PBE).

Unit cell a=4.332 b=4.332 c=11.720 alpha=100.65 beta=100.65 gamma=90.00
Each line ends with the local moment (μB).
Sites, in units of the cell vectors:
1 Sc 0.577 0.077 0.153  0.23
2 Sc 0.077 0.577 0.153  0.23
3 Sc 0.923 0.423 0.847  0.23
4 Sc 0.423 0.923 0.847  0.23
5 Si 0.162 0.162 0.325  0.00
6 Si 0.000 0.000 0.000  -0.02
7 Si 0.838 0.838 0.675  0.00
8 Nd 0.698 0.698 0.396  -0.05
9 Nd 0.302 0.302 0.604  -0.05
10 H 0.590 0.590 0.180  0.00
11 H 0.410 0.410 0.820  0.00

**Theoretical density**: 4.34 g cm⁻³
**Calculated volume**: 212 Å³/cell
**Symmetry**: No. 139
**Electronic total energy**: -5.88 eV/atom


Entry from Alexandria: an optimized crystal structure of Nd2Sc4Sn3H2 (PBE).

Unit cell a=4.533 b=4.533 c=12.466 alpha=100.48 beta=100.48 gamma=90.00
Each line ends with the local moment (μB).
Sites, in units of the cell vectors:
1 Sn 0.167 0.167 0.334  0.00
2 Sn 0.833 0.833 0.666  0.00
3 Sn 0.000 0.000 0.000  -0.02
4 Sc 0.080 0.580 0.159  0.33
5 Sc 0.420 0.920 0.841  0.33
6 Sc 0.920 0.420 0.841  0.33
7 Sc 0.580 0.080 0.159  0.33
8 H 0.407 0.407 0.814  -0.01
9 H 0.593 0.593 0.186  -0.01
10 Nd 0.696 0.696 0.392  -0.03
11 Nd 0.304 0.304 0.608  -0.03

**Theoretical density**: 5.54 g cm⁻³
**Calculated volume**: 248 Å³/cell
**Symmetry**: No. 139
**Electronic total energy**: -5.48 eV/atom


Entry from Alexandria: an optimized crystal structure of Nd2Sc2Sn2H (PBE).

Unit cell a=4.504 b=4.504 c=8.868 alpha=104.71 beta=104.71 gamma=90.00
Each line ends with the local moment (μB).
Sites, in units of the cell vectors:
1 Sc 0.000 0.500 0.000  0.34
2 Sc 0.500 0.000 0.000  0.34
3 H 0.000 0.000 0.000  -0.01
4 Nd 0.825 0.825 0.651  0.14
5 Nd 0.175 0.175 0.349  0.14
6 Sn 0.374 0.374 0.748  -0.02
7 Sn 0.626 0.626 0.252  -0.02

**Theoretical density**: 6.10 g cm⁻³
**Calculated volume**: 168 Å³/cell
**Symmetry**: No. 139
**Electronic total energy**: -5.47 eV/atom


Entry from Alexandria: an optimized crystal structure of Nd2HSe2 (PBE).

Unit cell a=3.906 b=5.584 c=11.284 alpha=90.00 beta=90.00 gamma=110.47
Each line ends with the local moment (μB).
Sites, in units of the cell vectors:
1 Nd 0.764 0.528 0.635  0.09
2 Nd 0.236 0.472 0.135  0.09
3 Nd 0.039 0.078 0.884  0.11
4 Nd 0.961 0.922 0.384  0.11
5 Se 0.945 0.890 0.127  0.00
6 Se 0.322 0.643 0.838  0.00
7 Se 0.055 0.110 0.627  0.00
8 Se 0.678 0.357 0.338  0.00
9 H 0.640 0.280 0.001  0.00
10 H 0.360 0.720 0.501  0.00

**Theoretical density**: 6.45 g cm⁻³
**Calculated volume**: 231 Å³/cell
**Symmetry**: No. 36
**Electronic total energy**: -5.37 eV/atom


Entry from Alexandria: an optimized crystal structure of NdHSe2 (PBE).

Unit cell a=7.660 b=7.752 c=8.083 alpha=118.20 beta=90.00 gamma=90.00
Sites, in units of the cell vectors:
1 H 0.069 0.326 0.614
2 H 0.431 0.826 0.114
3 H 0.569 0.174 0.886
4 H 0.931 0.674 0.386
5 Nd 0.362 0.752 0.542
6 Nd 0.862 0.748 0.958
7 Nd 0.138 0.252 0.042
8 Nd 0.638 0.248 0.458
9 Se 0.790 0.161 0.101
10 Se 0.568 0.793 0.232
11 Se 0.210 0.839 0.899
12 Se 0.932 0.293 0.732
13 Se 0.290 0.339 0.399
14 Se 0.432 0.207 0.768
15 Se 0.068 0.707 0.268
16 Se 0.710 0.661 0.601

**Theoretical density**: 4.76 g cm⁻³
**Calculated volume**: 423 Å³/cell
**Symmetry**: No. 14
**Electronic total energy**: -4.90 eV/atom


Entry from Alexandria: an optimized crystal structure of NdHSe (PBE).

Unit cell a=4.470 b=4.470 c=7.138 alpha=71.71 beta=71.71 gamma=89.92
Sites, in units of the cell vectors:
1 Nd 0.255 0.195 0.407
2 Nd 0.553 0.493 0.810
3 H 0.154 0.595 0.608
4 H 0.654 0.094 0.609
5 Se 0.404 0.844 0.109
6 Se 0.904 0.344 0.108

**Theoretical density**: 5.83 g cm⁻³
**Calculated volume**: 128 Å³/cell
**Symmetry**: No. 69
**Electronic total energy**: -4.74 eV/atom